[1]
# PBE-GGA CaZnAs2O6, relaxed
# **N(E_F)**: 6.754 states/eV/cell
# **V**: 555.41 Å³/cell
# **DFT total energy**: -5.81 eV/atom
# **Raw formation energy**: -1.58 eV per atom
data_CaZnAs2O6
_space_group_name_H-M_alt 'C 1 2/c 1'
_space_group_IT_number 15
_cell_length_a 10.950
_cell_length_b 8.449
_cell_length_c 6.981
_cell_angle_alpha 90.00
_cell_angle_beta 120.68
_cell_angle_gamma 90.00
loop_
_space_group_symop_operation_xyz
'x,y,z'
'-x,-y,-z'
'-x,y,-z+1/2'
'x,-y,z+1/2'
'x+1/2,y+1/2,z'
'-x+1/2,-y+1/2,-z'
'-x+1/2,y+1/2,-z+1/2'
'x+1/2,-y+1/2,z+1/2'
loop_
_atom_site_label
_atom_site_type_symbol
_atom_site_fract_x
_atom_site_fract_y
_atom_site_fract_z
Ca1 Ca 0.000 0.173 0.250
Zn1 Zn 0.000 0.223 0.750
As1 As 0.200 0.464 0.181
O1 O 0.112 0.284 0.060
O2 O 0.116 0.070 0.684
O3 O 0.166 0.421 0.441

---

[2]
# PBE-GGA CaZrAs2O8, relaxed
# **N(E_F)**: 0.000 states/eV/cell
# **V**: 310.22 Å³/cell
# **DFT total energy**: -7.09 eV/atom
# **Raw formation energy**: -2.13 eV per atom
data_CaZrAs2O8
_space_group_name_H-M_alt 'I -4 m 2'
_space_group_IT_number 119
_space_group_name_Hall 'I -4 -2'
_cell_length_a 7.054
_cell_length_b 7.054
_cell_length_c 6.235
_cell_angle_alpha 90.00
_cell_angle_beta 90.00
_cell_angle_gamma 90.00
loop_
_atom_site_label
_atom_site_type_symbol
_atom_site_fract_x
_atom_site_fract_y
_atom_site_fract_z
Ca1 Ca 0.000 0.000 0.000
Zr1 Zr 0.000 0.500 0.750
As1 As 0.000 0.000 0.500
As2 As 0.000 0.500 0.250
O1 O 0.000 0.191 0.672
O2 O 0.000 0.324 0.060

---

[3]
# PBE-GGA CaZrAsO5, relaxed
# **N(E_F)**: 8.061 states/eV/cell
# **V**: 468.70 Å³/cell
# **DFT total energy**: -7.38 eV/atom
# **Raw formation energy**: -2.38 eV per atom
data_CaZrAsO5
_space_group_name_H-M_alt 'C 1 2/c 1'
_space_group_IT_number 15
_cell_length_a 7.400
_cell_length_b 9.016
_cell_length_c 7.929
_cell_angle_alpha 90.00
_cell_angle_beta 117.62
_cell_angle_gamma 90.00
loop_
_space_group_symop_operation_xyz
'x,y,z'
'-x,-y,-z'
'-x,y,-z+1/2'
'x,-y,z+1/2'
'x+1/2,y+1/2,z'
'-x+1/2,-y+1/2,-z'
'-x+1/2,y+1/2,-z+1/2'
'x+1/2,-y+1/2,z+1/2'
loop_
_atom_site_label
_atom_site_type_symbol
_atom_site_fract_x
_atom_site_fract_y
_atom_site_fract_z
Ca1 Ca 0.000 0.067 0.250
Zr1 Zr 0.250 0.250 0.000
As1 As 0.000 0.437 0.250
O1 O 0.000 0.190 0.750
O2 O 0.042 0.303 0.108
O3 O 0.234 0.022 0.083

---

[4]
# PBE-GGA Ca2AsOs, relaxed
# **N(E_F)**: 3.651 states/eV/cell
# **V**: 260.45 Å³/cell
# **DFT total energy**: -4.79 eV/atom
# **ΔH_f (0 K)**: 0.18 eV per atom
data_Ca2AsOs
_space_group_name_H-M_alt 'R -3 m'
_space_group_IT_number 166
_space_group_name_Hall '-R 3 2"'
_cell_length_a 3.3121
_cell_length_b 3.3121
_cell_length_c 27.4160
_cell_angle_alpha 90.00
_cell_angle_beta 90.00
_cell_angle_gamma 120.00
loop_
_atom_site_label
_atom_site_type_symbol
_atom_site_fract_x
_atom_site_fract_y
_atom_site_fract_z
Ca1 Ca 0.0000 0.0000 0.2454
As1 As 0.0000 0.0000 0.0000
Os1 Os 0.0000 0.0000 0.5000

---

- What is the formula in the second record?
  CaZrAs2O8